6
Lattice="0.000 4.489 4.489 4.489 0.000 4.489 4.489 4.489 0.000" Properties=species:S:1:pos:R:3 comment="KTl4W, optimized geometry, DFT GGA-PBE" formation_energy_ev_per_atom=0.927 vol_a3_per_cell=180.9 e_tot_ev_per_atom=-2.9919 space_group="No. 216" pbc="T T T"
K 0.000 0.000 0.000
Tl 5.604 3.373 3.373
Tl 3.373 5.604 3.373
Tl 3.373 3.373 5.604
Tl 5.604 5.604 5.604
W 2.244 2.244 2.244



12
Lattice="1.557 -5.698 0.000 1.557 5.698 0.000 0.000 0.000 8.071" Properties=species:S:1:pos:R:3 comment="NaLiAsO3, optimized geometry, DFT GGA-PBE" vol_a3_per_cell=143.2 e_tot_ev_per_atom=-5.1193 space_group="No. 63" raw_formation_energy_ev_per_atom=-1.326 pbc="T T T"
Na 1.557 3.483 6.053
Na 1.557 -3.483 2.018
Li 1.557 4.933 2.018
Li 1.557 -4.933 6.053
As 1.557 0.000 0.000
As 1.557 0.000 4.036
O 1.557 4.375 0.251
O 1.557 4.375 3.784
O 1.557 0.348 2.018
O 1.557 -0.348 6.053
O 1.557 -4.375 4.287
O 1.557 -4.375 7.820



12
Lattice="3.397 0.000 0.000 -1.698 2.942 0.000 0.000 0.000 34.860" Properties=species:S:1:pos:R:3 comment="TiS2I, optimized geometry, DFT GGA-PBE" vol_a3_per_cell=348.4 polymorph_energy_mev_per_atom=0 e_tot_ev_per_atom=-5.3077 space_group="No. 166" raw_formation_energy_ev_per_atom=-0.883 pbc="T T T"
Ti 0.000 0.000 0.000
Ti 0.000 1.961 23.240
Ti 1.698 0.981 11.620
S 0.000 0.000 13.050
S 0.000 0.000 21.811
S 0.000 1.961 1.430
S 0.000 1.961 10.191
S 1.698 0.981 24.670
S 1.698 0.981 33.431
I 0.000 0.000 17.430
I 0.000 1.961 5.810
I 1.698 0.981 29.050



11
Lattice="12.141 -1.755 0.000 12.141 1.755 0.000 -0.677 0.000 8.582" Properties=species:S:1:pos:R:3 comment="Tb5Sm2Th4, optimized geometry, DFT GGA-PBE" formation_energy_ev_per_atom=0.127 vol_a3_per_cell=365.6 polymorph_energy_mev_per_atom=0 e_tot_ev_per_atom=-5.5343 space_group="No. 12" pbc="T T T"
Tb 0.000 0.000 0.000
Tb 7.307 0.000 4.529
Tb 8.342 0.000 8.218
Tb 15.261 0.000 0.364
Tb 16.297 0.000 4.053
Sm 4.920 0.000 7.083
Sm 18.684 0.000 1.499
Th 1.601 0.000 5.882
Th 10.634 0.000 5.568
Th 12.970 0.000 3.014
Th 22.003 0.000 2.700



5
Lattice="6.822 0.000 0.000 0.000 6.822 0.000 0.000 0.000 6.822" Properties=species:S:1:pos:R:3 comment="K3HfH, optimized geometry, DFT GGA-PBE" vol_a3_per_cell=317.5 polymorph_energy_mev_per_atom=565 e_tot_ev_per_atom=-1.8877 space_group="No. 221" pbc="T T T"
K 0.000 0.000 3.411
K 0.000 3.411 0.000
K 3.411 0.000 0.000
Hf 0.000 0.000 0.000
H 3.411 3.411 3.411



5
Lattice="5.422 0.000 0.000 0.000 5.422 0.000 0.000 0.000 4.043" Properties=species:S:1:pos:R:3 comment="NaBSeBr2, optimized geometry, DFT GGA-PBE" vol_a3_per_cell=118.8 polymorph_energy_mev_per_atom=0 e_tot_ev_per_atom=-2.9521 space_group="No. 123" raw_formation_energy_ev_per_atom=0.013 pbc="T T T"
Na 0.000 0.000 0.000
B 2.711 2.711 2.021
Se 2.711 2.711 0.000
Br 0.000 2.711 2.021
Br 2.711 0.000 2.021